1.
# Mg6VH16

A geometry-optimized Mg6VH16 structure (PBE-GGA, Alexandria via LeMat-Bulk).

Lattice parameters (Å, degrees): 9.338 9.338 9.338 90.00 90.00 90.00
Space group Fm-3m (No. 225)
Inequivalent atoms, fractional coordinates:
1 Mg 0.000 0.250 0.250 [24 per cell]
2 V 0.000 0.000 0.000 [4 per cell]
3 H 0.110 0.110 0.110 [32 per cell]
4 H 0.143 0.143 0.357 [32 per cell]

## Properties
- Calculated total energy: -3.238 eV/atom
- V: 8.85 A^3/atom
- DOS(E_F): 15.71 states/eV per cell

2.
# LaPu2Sn3

A geometry-optimized LaPu2Sn3 structure (PBE-GGA, Alexandria via LeMat-Bulk).

Lattice parameters (Å, degrees): 4.166 4.166 9.554 90.00 90.00 90.00
Space group P4/mmm (No. 123)
Inequivalent atoms, fractional coordinates:
1 La 0.000 0.000 0.000 [1 per cell]
2 Pu 0.000 0.000 0.338 [2 per cell]
3 Sn 0.500 0.500 0.176 [2 per cell]
4 Sn 0.500 0.500 0.500 [1 per cell]

## Properties
- Calculated total energy: -8.053 eV/atom
- V: 27.64 A^3/atom
- DOS(E_F): 19.11 states/eV per cell